An optimized crystal structure of YZn2TeSe. Source: Alexandria via LeMat-Bulk, functional PBE.

a = 5.112 Å, b = 5.635 Å, c = 5.112 Å
α = 90.00°, β = 90.00°, γ = 90.00°
Sites, in units of the cell vectors:
1 Y 0.500 0.500 0.500
2 Zn 0.000 0.000 0.500
3 Zn 0.500 0.000 0.000
4 Te 0.000 0.000 0.000
5 Se 0.000 0.500 0.000

Properties
* calculated density: 4.81 g/cm3
* SG: No. 123
* raw formation energy: 1.509 eV per formula unit
* total magnetic moment: 0.000 μB/cell